GGA+U Cs2NpFeO6, optimized geometry; E = -70.07 eV/cell; space group = Imm2 (44)
1.0
-4.490 3.486 2.458
-2.818 -4.007 3.790
6.161 1.515 0.789
O Fe Cs Np
6 1 2 1
Cartesian
-2.361 0.413 5.302
-5.591 -0.381 4.888
-3.301 -1.869 3.440
1.097 0.477 1.318
-4.020 1.352 2.868
4.685 1.359 1.778
-3.794 -0.142 3.975
-0.965 2.232 3.230
-0.191 -1.237 3.846
-1.124 0.972 6.890